First-principles (GGA-PBE) data for a relaxed ZrNbO3 crystal, as listed in OQMD via LeMat-Bulk.

Cell: 3.9603 8.1821 3.9809 Å, 90.00 111.49 90.00°
Last column: magnetic moment on the atom in μB.
Element x y z (fractional)
O 0.1971 0.7500 0.8535  0.01
O 0.5000 0.5000 0.5000  0.05
Zr 0.5396 0.2500 0.5418  -0.01
Nb 0.0000 0.0000 0.0000  1.33
O 0.8564 0.7500 0.1975  0.01
O 0.5000 0.0000 0.5000  0.05
O 0.1436 0.2500 0.8025  0.01
Zr 0.4604 0.7500 0.4582  -0.01
O 0.8029 0.2500 0.1465  0.01
Nb 0.0000 0.5000 0.0000  1.32

Summary:
space group: No. 11
electronic total energy: -8.73 eV/atom



First-principles (GGA-PBE) data for a relaxed NbOs2 crystal, as listed in OQMD via LeMat-Bulk.

Cell: 5.1532 5.1532 5.1532 Å, 60.00 60.00 60.00°
Element x y z (fractional)
Os 0.6250 0.6250 0.6250
Os 0.1250 0.6250 0.6250
Nb 0.0000 0.0000 0.0000
Os 0.6250 0.1250 0.6250
Nb 0.2500 0.2500 0.2500
Os 0.6250 0.6250 0.1250

Summary:
space group: No. 227
energy relative to the elements: -0.002 eV/atom



First-principles (GGA-PBE) data for a relaxed NbOs crystal, as listed in OQMD via LeMat-Bulk.

Cell: 2.8740 2.8740 4.4996 Å, 90.00 90.00 120.00°
Element x y z (fractional)
Os 0.3333 0.6667 0.2500
Nb 0.6667 0.3333 0.7500

Summary:
space group: No. 187
energy relative to the elements: 0.131 eV/atom



First-principles (GGA-PBE) data for a relaxed NbOs crystal, as listed in OQMD via LeMat-Bulk.

Cell: 4.0963 4.0963 4.0963 Å, 60.00 60.00 60.00°
Element x y z (fractional)
Os 0.2500 0.2500 0.2500
Nb 0.0000 0.0000 0.0000

Summary:
space group: No. 216
energy relative to the elements: 1.371 eV/atom



First-principles (GGA-PBE) data for a relaxed Nb5Os3 crystal, as listed in OQMD via LeMat-Bulk.

Cell: 7.7860 7.7860 5.2751 Å, 90.00 90.00 59.99°
Element x y z (fractional)
Nb 0.3333 0.3333 0.0000
Nb 0.7599 0.0000 0.7500
Nb 0.3333 0.3333 0.5000
Os 0.3989 0.0000 0.7500
Nb 0.2401 0.0000 0.2500
Os 0.3988 0.6012 0.2500
Nb 0.0000 0.2401 0.7500
Os 0.6012 0.3988 0.7500
Nb 0.0000 0.7599 0.2500
Nb 0.6667 0.6667 0.0000
Nb 0.7599 0.2401 0.2500
Os 0.0000 0.3989 0.2500
Os 0.0000 0.6011 0.7500
Os 0.6011 0.0000 0.2500
Nb 0.2401 0.7599 0.7500
Nb 0.6667 0.6667 0.5000

Summary:
space group: No. 193
energy relative to the elements: -0.109 eV/atom



First-principles (GGA-PBE) data for a relaxed NbOs2 crystal, as listed in OQMD via LeMat-Bulk.

Cell: 7.7561 7.7561 7.7561 Å, 60.00 60.00 60.00°
Last column: magnetic moment on the atom in μB.
Element x y z (fractional)
Os 0.8750 0.3750 0.3750  1.49
Nb 0.5000 0.5000 0.5000  -0.57
Os 0.3750 0.3750 0.8750  1.66
Os 0.3750 0.3750 0.3750  1.62
Os 0.3750 0.8750 0.3750  1.64
Nb 0.2500 0.2500 0.2500  -0.57

Summary:
space group: No. 227
energy relative to the elements: 3.884 eV/atom